# 1
Below is a crystal of HgTeSe2 relaxed with PBEsol, with properties calculated at the SCAN level.

Lattice parameters (Å, degrees): 8.830 8.830 8.830 143.92 143.92 51.95
Atoms (fractional coordinates):
Hg (0.000, 0.000, 0.000)
Hg (0.750, 0.250, 0.500)
Te (0.250, 0.750, 0.500)
Te (0.500, 0.500, 0.000)
Se (0.129, 0.625, 0.004)
Se (0.375, 0.379, 0.504)
Se (0.621, 0.125, 0.996)
Se (0.875, 0.871, 0.496)

Properties
- Excess energy over the best structure of this formula in the dataset: 6.03 kcal/mol of atoms


# 2
Below is a crystal of HgTeSe2 relaxed with PBEsol, with properties calculated at the SCAN level.

Lattice parameters (Å, degrees): 3.540 3.540 7.125 90.00 90.00 90.00
Atoms (fractional coordinates):
Hg (0.000, 0.000, 0.000)
Te (0.000, 0.000, 0.500)
Se (0.500, 0.500, 0.260)
Se (0.500, 0.500, 0.740)

Properties
- Excess energy over the best structure of this formula in the dataset: 10.01 kcal/mol of atoms


# 3
Below is a crystal of TlHgSe2 relaxed with PBEsol, with properties calculated at the SCAN level.

Lattice parameters (Å, degrees): 7.787 7.787 7.787 132.01 132.01 70.22
Atoms (fractional coordinates):
Tl (0.000, 0.000, 0.000)
Tl (0.750, 0.250, 0.500)
Hg (0.250, 0.750, 0.500)
Hg (0.500, 0.500, 0.000)
Se (0.144, 0.625, 0.019)
Se (0.375, 0.394, 0.519)
Se (0.606, 0.125, 0.981)
Se (0.875, 0.856, 0.481)


# 4
Below is a crystal of TlHg2Se2 relaxed with PBEsol, with properties calculated at the SCAN level.

Lattice parameters (Å, degrees): 6.134 6.134 6.134 130.52 130.52 72.57
Atoms (fractional coordinates):
Tl (0.000, 0.000, 0.000)
Hg (0.363, 0.363, 0.000)
Hg (0.637, 0.637, 0.000)
Se (0.250, 0.750, 0.500)
Se (0.750, 0.250, 0.500)


# 5
Below is a crystal of TlHgSe2 relaxed with PBEsol, with properties calculated at the SCAN level.

Lattice parameters (Å, degrees): 3.856 3.856 6.375 90.00 90.00 90.00
Atoms (fractional coordinates):
Tl (0.000, 0.000, 0.000)
Hg (0.000, 0.000, 0.500)
Se (0.500, 0.500, 0.284)
Se (0.500, 0.500, 0.716)


# 6
Below is a crystal of TlHg2Se relaxed with PBEsol, with properties calculated at the SCAN level.

Lattice parameters (Å, degrees): 3.636 3.636 7.494 90.00 90.00 90.00
Atoms (fractional coordinates):
Tl (0.000, 0.000, 0.000)
Hg (0.000, 0.000, 0.547)
Hg (0.500, 0.500, 0.308)
Se (0.500, 0.500, 0.760)


# 7
Below is a crystal of TlHg2Se relaxed with PBEsol, with properties calculated at the SCAN level.

Lattice parameters (Å, degrees): 3.100 4.117 7.911 90.00 95.48 90.00
Atoms (fractional coordinates):
Tl (0.000, 0.000, 0.000)
Hg (0.401, 0.000, 0.514)
Hg (0.825, 0.500, 0.297)
Se (0.433, 0.500, 0.769)


# 8
Below is a crystal of TlHg2Se relaxed with PBEsol, with properties calculated at the SCAN level.

Lattice parameters (Å, degrees): 3.180 3.948 7.879 90.00 90.00 90.00
Atoms (fractional coordinates):
Tl (0.000, 0.000, 0.000)
Hg (0.000, 0.000, 0.522)
Hg (0.500, 0.500, 0.291)
Se (0.500, 0.500, 0.763)


| no. | E_tot (eV for the cell shown) | formation energy (no corrections) (meV/atom) |
| --- | --- | --- |
| 1 | -289.9 | 160 |
| 2 | -144.2 | 332 |
| 3 | -362.5 | -147 |
| 4 | -249.1 | -43 |
| 5 | -180.3 | 102 |
| 6 | -228.8 | -13 |
| 7 | -228.9 | -42 |
| 8 | -228.8 | -8 |